## Cr3AsAu (PBE-GGA)

Data for a relaxed structure of Cr3AsAu.

Computed properties:
The value obtained for the density of states at the Fermi level is 3.65 states/eV/f.u. The calculation puts the calculated formation energy at 0.779 eV/atom. The calculation puts the distance to the lowest polymorph of the same formula at 0 meV/atom.

Cell: 4.7290 4.7290 4.7290 Å, 90.00 90.00 90.00°
With the nearest neighbours (Å) after each atom.
Space group Pm-3m (No. 221)
Symmetry-distinct sites (fractional):
Cr 0.0000 0.0000 0.5000  2 As 2.36
As 0.0000 0.0000 0.0000  6 Cr 2.36
Au 0.5000 0.5000 0.5000  12 Cr 3.34



## Cr3AsAu (PBE-GGA)

Data for a relaxed structure of Cr3AsAu.

Computed properties:
The value obtained for the density of states at the Fermi level is 5.73 states/eV/f.u. The calculation puts the calculated formation energy at 1.270 eV/atom. The calculation puts the distance to the lowest polymorph of the same formula at 491 meV/atom.

Cell: 4.9681 4.9681 4.9681 Å, 90.00 90.00 90.00°
With the nearest neighbours (Å) after each atom.
Space group Pm-3m (No. 221)
Symmetry-distinct sites (fractional):
Cr 0.0000 0.0000 0.5000  2 Au 2.48
As 0.5000 0.5000 0.5000  12 Cr 3.51
Au 0.0000 0.0000 0.0000  6 Cr 2.48



## CrAs2AuI (PBE-GGA)

Data for a relaxed structure of CrAs2AuI.

Computed properties:
For the uncorrected formation energy, the calculation gives 0.44 eV/atom. The value obtained for the density of states at the Fermi level is 3.66 states/eV/f.u.

Cell: 4.5584 4.5584 5.6325 Å, 90.00 90.00 90.00°
With the nearest neighbours (Å) after each atom.
Space group P4/mmm (No. 123)
Symmetry-distinct sites (fractional):
Cr 0.0000 0.0000 0.0000  4 As 2.28
As 0.0000 0.5000 0.0000  2 Cr 2.28
Au 0.0000 0.0000 0.5000  2 Cr 2.82
I 0.5000 0.5000 0.5000  4 Au 3.22



## CrIn2AsAu (PBE-GGA)

Data for a relaxed structure of CrIn2AsAu.

Computed properties:
The value obtained for the density of states at the Fermi level is 2.62 states/eV/f.u. The calculation puts the calculated formation energy at 0.583 eV/atom.

Cell: 5.2078 5.2078 5.2761 Å, 90.00 90.00 90.00°
With the nearest neighbours (Å) after each atom.
Space group P4/mmm (No. 123)
Symmetry-distinct sites (fractional):
Cr 0.0000 0.0000 0.0000  2 Au 2.64
In 0.0000 0.5000 0.5000  2 Au 2.60
As 0.5000 0.5000 0.0000  4 Cr 3.68, 8 In 3.71
Au 0.0000 0.0000 0.5000  4 In 2.60, 2 Cr 2.64



## CrAs2IrAu (PBE-GGA)

Data for a relaxed structure of CrAs2IrAu.

Computed properties:
The value obtained for the density of states at the Fermi level is 6.71 states/eV/f.u. The calculation puts the calculated formation energy at 1.871 eV/atom.

Cell: 4.8349 4.8349 5.0259 Å, 90.00 90.00 90.00°
With the nearest neighbours (Å) after each atom.
Space group P4/mmm (No. 123)
Symmetry-distinct sites (fractional):
Cr 0.0000 0.0000 0.0000  4 Ir 3.42, 8 As 3.49
As 0.0000 0.5000 0.5000  2 Au 2.42
Ir 0.5000 0.5000 0.0000  2 Au 2.51
Au 0.5000 0.5000 0.5000  4 As 2.42, 2 Ir 2.51



## La2CrAsAu (PBE-GGA)

Data for a relaxed structure of La2CrAsAu.

Computed properties:
The value obtained for the density of states at the Fermi level is 2.85 states/eV/f.u. The calculation puts the calculated formation energy at -0.322 eV/atom.

Cell: 5.3109 5.3109 4.5397 Å, 90.00 90.00 90.00°
With the nearest neighbours (Å) after each atom.
Space group P4/mmm (No. 123)
Symmetry-distinct sites (fractional):
La 0.0000 0.5000 0.0000  2 Cr 2.66
Cr 0.0000 0.0000 0.0000  2 As 2.27
As 0.0000 0.0000 0.5000  2 Cr 2.27
Au 0.5000 0.5000 0.5000  8 La 3.49, 4 As 3.76



## LiCrAsAu (PBE-GGA)

Data for a relaxed structure of LiCrAsAu.

Computed properties:
The value obtained for the density of states at the Fermi level is 1.37 states/eV/f.u. The calculation puts the calculated formation energy at -0.186 eV/atom.

Cell: 6.3486 6.3486 6.3486 Å, 90.00 90.00 90.00°
With the nearest neighbours (Å) after each atom.
Space group F-43m (No. 216)
Symmetry-distinct sites (fractional):
Li 0.0000 0.0000 0.0000  4 As 2.75, 4 Au 2.75
Cr 0.0000 0.0000 0.5000  4 Au 2.75, 4 As 2.75
As 0.2500 0.2500 0.7500  4 Cr 2.75, 4 Li 2.75
Au 0.2500 0.2500 0.2500  4 Cr 2.75, 4 Li 2.75



## CrAs2PAu (PBE-GGA)

Data for a relaxed structure of CrAs2PAu.

Computed properties:
The value obtained for the density of states at the Fermi level is 3.58 states/eV/f.u. The calculation puts the calculated formation energy at 0.660 eV/atom.

Cell: 4.7877 4.7877 4.4881 Å, 90.00 90.00 90.00°
With the nearest neighbours (Å) after each atom.
Space group P4/mmm (No. 123)
Symmetry-distinct sites (fractional):
Cr 0.0000 0.0000 0.0000  2 P 2.24
As 0.0000 0.5000 0.5000  2 P 2.39
P 0.0000 0.0000 0.5000  2 Cr 2.24, 4 As 2.39
Au 0.5000 0.5000 0.0000  8 As 3.28, 4 Cr 3.39



## CrAsPdAu2 (PBE-GGA)

Data for a relaxed structure of CrAsPdAu2.

Computed properties:
The value obtained for the density of states at the Fermi level is 7.20 states/eV/f.u. The calculation puts the calculated formation energy at 1.136 eV/atom.

Cell: 4.8275 4.8275 4.5284 Å, 90.00 90.00 90.00°
With the nearest neighbours (Å) after each atom.
Space group P4/mmm (No. 123)
Symmetry-distinct sites (fractional):
Cr 0.0000 0.0000 0.0000  2 Pd 2.26, 4 Au 2.41
As 0.5000 0.5000 0.5000  8 Au 3.31, 4 Pd 3.41
Pd 0.0000 0.0000 0.5000  2 Cr 2.26
Au 0.0000 0.5000 0.0000  2 Cr 2.41



## RbCrAs2Au (PBE-GGA)

Data for a relaxed structure of RbCrAs2Au.

Computed properties:
The value obtained for the density of states at the Fermi level is 0.74 states/eV/f.u. The calculation puts the calculated formation energy at -0.197 eV/atom.

Cell: 5.6315 15.4540 5.5789 Å, 90.00 90.00 90.00°
With the nearest neighbours (Å) after each atom.
Space group Cmme (No. 67)
Symmetry-distinct sites (fractional):
Rb 0.0000 0.2500 0.2022  8 As 3.36-3.73, 2 Rb 3.61
Cr 0.2500 0.0000 0.5000  4 As 2.37
As 0.0000 0.1089 0.6607  2 Cr 2.37, 1 Au 2.53
Au 0.0000 0.0000 0.0000  2 As 2.53, 2 Au 2.82



## CrAs2AuSe (PBE-GGA)

Data for a relaxed structure of CrAs2AuSe.

Computed properties:
For the uncorrected formation energy, the calculation gives 0.44 eV/atom. The value obtained for the density of states at the Fermi level is 2.55 states/eV/f.u. The calculation puts the distance to the lowest polymorph of the same formula at 0 meV/atom.

Cell: 4.7152 4.7152 4.5813 Å, 90.00 90.00 90.00°
With the nearest neighbours (Å) after each atom.
Space group P4/mmm (No. 123)
Symmetry-distinct sites (fractional):
Cr 0.0000 0.0000 0.0000  2 Se 2.29, 4 As 2.36
As 0.0000 0.5000 0.0000  2 Cr 2.36
Au 0.5000 0.5000 0.5000  8 As 3.29, 4 Se 3.33
Se 0.0000 0.0000 0.5000  2 Cr 2.29



## CsAs2Au6 (PBE-GGA)

Data for a relaxed structure of CsAs2Au6.

Computed properties:
The value obtained for the density of states at the Fermi level is 2.49 states/eV/f.u. The calculation puts the calculated formation energy at -0.042 eV/atom.

Cell: 4.7405 8.2079 11.9599 Å, 90.00 90.00 90.00°
With the nearest neighbours (Å) after each atom.
Space group C2/m (No. 12)
Symmetry-distinct sites (fractional):
Cs 0.0000 0.0000 0.0000  14 Au 3.84-3.95
As 0.0000 0.1802 0.5000  2 Au 2.60, 2 As 2.63
Au 0.0015 0.3336 0.7625  6 Au 2.73-2.92
Au 0.0018 0.0000 0.6786  2 As 2.60